# 1
An optimized crystal structure of Nd4Dy5Th, computed with PBE-GGA.

Calculated values
Fermi-level density of states in states/eV/f.u.: 13.15
Magnetization in μB per cell: 0.000
Calculated volume in Å³/cell: 331.0
Energy of formation in kJ/mol of atoms: 1.5

Lattice parameters (Å, degrees): 3.6134 3.6134 25.3485 90.00 90.00 90.00
With the nearest neighbours (Å) after each atom.
Positions (direct):
Nd: 0.0000 0.0000 0.1003  8 Dy 3.60-3.62, 4 Nd 3.61
Nd: 0.0000 0.0000 0.3016  8 Dy 3.61-3.66, 4 Nd 3.61
Nd: 0.0000 0.0000 0.6984  8 Dy 3.61-3.66, 4 Nd 3.61
Nd: 0.0000 0.0000 0.8997  8 Dy 3.60-3.62, 4 Nd 3.61
Dy: 0.5000 0.5000 0.0000  8 Nd 3.60, 4 Dy 3.61
Dy: 0.5000 0.5000 0.2013  8 Nd 3.61-3.62, 4 Dy 3.61
Dy: 0.5000 0.5000 0.4048  4 Th 3.51, 4 Dy 3.61, 4 Nd 3.66
Dy: 0.5000 0.5000 0.5952  4 Th 3.51, 4 Dy 3.61, 4 Nd 3.66
Dy: 0.5000 0.5000 0.7987  8 Nd 3.61-3.62, 4 Dy 3.61
Th: 0.0000 0.0000 0.5000  8 Dy 3.51, 4 Th 3.61


# 2
An optimized crystal structure of Rb3Pm, computed with PBE-GGA.

Calculated values
Fermi-level density of states in states/eV/f.u.: 5.83
Magnetization in μB per cell: 2.788
Calculated volume in Å³/cell: 525.9
Energy of formation in kJ/mol of atoms: 57.6

Lattice parameters (Å, degrees): 6.2430 6.2430 13.4945 90.00 90.00 90.00
With the nearest neighbours (Å) after each atom.
Positions (direct):
Rb: 0.0000 0.0000 0.0000  4 Pm 4.41, 8 Rb 4.60
Rb: 0.0000 0.5000 0.2500  8 Rb 4.41-4.60, 4 Pm 4.60
Rb: 0.0000 0.5000 0.7500  8 Rb 4.41-4.60, 4 Pm 4.60
Rb: 0.5000 0.0000 0.2500  8 Rb 4.41-4.60, 4 Pm 4.60
Rb: 0.5000 0.0000 0.7500  8 Rb 4.41-4.60, 4 Pm 4.60
Rb: 0.5000 0.5000 0.5000  4 Pm 4.41, 8 Rb 4.60
Pm: 0.0000 0.0000 0.5000  12 Rb 4.41-4.60
Pm: 0.5000 0.5000 0.0000  12 Rb 4.41-4.60


# 3
An optimized crystal structure of RbReBr5, computed with PBE-GGA.

Calculated values
Fermi-level density of states in states/eV/f.u.: 0.06
Magnetization in μB per cell: 6.001
Calculated total energy in eV/atom: -3.773
Calculated volume in Å³/cell: 513.1

Lattice parameters (Å, degrees): 9.0763 9.0763 7.7398 110.49 110.49 103.13
With the nearest neighbours (Å) after each atom.
Positions (direct):
Rb: 0.1384 0.8616 0.7500  6 Br 3.48-3.73
Rb: 0.8616 0.1384 0.2500  6 Br 3.48-3.73
Re: 0.0000 0.5000 0.0000  6 Br 2.50-2.60
Re: 0.5000 0.0000 0.5000  6 Br 2.50-2.60
Br: 0.1586 0.4956 0.7896  1 Re 2.52
Br: 0.1732 0.8268 0.2500  2 Re 2.60
Br: 0.2012 0.4092 0.2132  1 Re 2.50
Br: 0.4092 0.2012 0.7132  1 Re 2.50
Br: 0.4956 0.1586 0.2896  1 Re 2.52
Br: 0.5044 0.8414 0.7104  1 Re 2.52
Br: 0.5908 0.7988 0.2868  1 Re 2.50
Br: 0.7988 0.5908 0.7868  1 Re 2.50
Br: 0.8268 0.1732 0.7500  2 Re 2.60
Br: 0.8414 0.5044 0.2104  1 Re 2.52


# 4
An optimized crystal structure of Ba3Sc5S12, computed with PBE-GGA.

Calculated values
Fermi-level density of states in states/eV/f.u.: 22.22
Magnetization in μB per cell: 11.017
Calculated total energy in eV/atom: -5.950
Calculated volume in Å³/cell: 2199.2

Lattice parameters (Å, degrees): 14.1893 14.1893 14.1893 109.47 109.47 109.47
With the nearest neighbours (Å) after each atom.
Positions (direct):
Ba: 0.1250 0.2500 0.3750  8 S 3.24-3.28
Ba: 0.1250 0.3750 0.7500  8 S 3.24-3.28
Ba: 0.2500 0.3750 0.1250  8 S 3.24-3.28
Ba: 0.2500 0.8750 0.6250  8 S 3.24-3.28
Ba: 0.3750 0.1250 0.2500  8 S 3.24-3.28
Ba: 0.3750 0.7500 0.1250  8 S 3.24-3.28
Ba: 0.6250 0.2500 0.8750  8 S 3.24-3.28
Ba: 0.6250 0.8750 0.7500  8 S 3.24-3.28
Ba: 0.7500 0.1250 0.3750  8 S 3.24-3.28
Ba: 0.7500 0.6250 0.8750  8 S 3.24-3.28
Ba: 0.8750 0.6250 0.2500  8 S 3.24-3.28
Ba: 0.8750 0.7500 0.6250  8 S 3.24-3.28
Sc: 0.0000 0.0000 0.0000  6 S 2.60
Sc: 0.0000 0.0000 0.5000  6 S 2.60
Sc: 0.0000 0.5000 0.0000  6 S 2.60
Sc: 0.0000 0.5000 0.5000  6 S 2.60
Sc: 0.1250 0.7500 0.8750  4 S 2.44
Sc: 0.1250 0.8750 0.2500  4 S 2.44
Sc: 0.2500 0.1250 0.8750  4 S 2.44
Sc: 0.2500 0.6250 0.3750  4 S 2.44
Sc: 0.3750 0.2500 0.6250  4 S 2.44
Sc: 0.3750 0.6250 0.7500  4 S 2.44
Sc: 0.5000 0.0000 0.0000  6 S 2.60
Sc: 0.5000 0.0000 0.5000  6 S 2.60
Sc: 0.5000 0.5000 0.0000  6 S 2.60
Sc: 0.5000 0.5000 0.5000  6 S 2.60
Sc: 0.6250 0.3750 0.2500  4 S 2.44
Sc: 0.6250 0.7500 0.3750  4 S 2.44
Sc: 0.7500 0.3750 0.6250  4 S 2.44
Sc: 0.7500 0.8750 0.1250  4 S 2.44
Sc: 0.8750 0.1250 0.7500  4 S 2.44
Sc: 0.8750 0.2500 0.1250  4 S 2.44
S: 0.0199 0.1991 0.1113  2 Sc 2.44-2.60
S: 0.0199 0.3208 0.9087  2 Sc 2.44-2.60
S: 0.0879 0.6991 0.6792  2 Sc 2.44-2.60
S: 0.0879 0.8887 0.4087  2 Sc 2.44-2.60
S: 0.0913 0.6113 0.4121  2 Sc 2.44-2.60
S: 0.0913 0.9801 0.6792  2 Sc 2.44-2.60
S: 0.1113 0.0199 0.1991  2 Sc 2.44-2.60
S: 0.1113 0.5913 0.9121  2 Sc 2.44-2.60
S: 0.1792 0.1991 0.5879  2 Sc 2.44-2.60
S: 0.1792 0.4801 0.5913  2 Sc 2.44-2.60
S: 0.1991 0.1113 0.0199  2 Sc 2.44-2.60
S: 0.1991 0.5879 0.1792  2 Sc 2.44-2.60
S: 0.3009 0.3208 0.9121  2 Sc 2.44-2.60
S: 0.3009 0.4801 0.3887  2 Sc 2.44-2.60
S: 0.3208 0.9087 0.0199  2 Sc 2.44-2.60
S: 0.3208 0.9121 0.3009  2 Sc 2.44-2.60
S: 0.3887 0.3009 0.4801  2 Sc 2.44-2.60
S: 0.3887 0.5879 0.9087  2 Sc 2.44-2.60
S: 0.4087 0.0879 0.8887  2 Sc 2.44-2.60
S: 0.4087 0.8208 0.5199  2 Sc 2.44-2.60
S: 0.4121 0.0913 0.6113  2 Sc 2.44-2.60
S: 0.4121 0.8208 0.8009  2 Sc 2.44-2.60
S: 0.4801 0.3887 0.3009  2 Sc 2.44-2.60
S: 0.4801 0.5913 0.1792  2 Sc 2.44-2.60
S: 0.5199 0.4087 0.8208  2 Sc 2.44-2.60
S: 0.5199 0.6113 0.6991  2 Sc 2.44-2.60
S: 0.5879 0.1792 0.1991  2 Sc 2.44-2.60
S: 0.5879 0.9087 0.3887  2 Sc 2.44-2.60
S: 0.5913 0.1792 0.4801  2 Sc 2.44-2.60
S: 0.5913 0.9121 0.1113  2 Sc 2.44-2.60
S: 0.6113 0.4121 0.0913  2 Sc 2.44-2.60
S: 0.6113 0.6991 0.5199  2 Sc 2.44-2.60
S: 0.6792 0.0879 0.6991  2 Sc 2.44-2.60
S: 0.6792 0.0913 0.9801  2 Sc 2.44-2.60
S: 0.6991 0.5199 0.6113  2 Sc 2.44-2.60
S: 0.6991 0.6792 0.0879  2 Sc 2.44-2.60
S: 0.8009 0.4121 0.8208  2 Sc 2.44-2.60
S: 0.8009 0.8887 0.9801  2 Sc 2.44-2.60
S: 0.8208 0.5199 0.4087  2 Sc 2.44-2.60
S: 0.8208 0.8009 0.4121  2 Sc 2.44-2.60
S: 0.8887 0.4087 0.0879  2 Sc 2.44-2.60
S: 0.8887 0.9801 0.8009  2 Sc 2.44-2.60
S: 0.9087 0.0199 0.3208  2 Sc 2.44-2.60
S: 0.9087 0.3887 0.5879  2 Sc 2.44-2.60
S: 0.9121 0.1113 0.5913  2 Sc 2.44-2.60
S: 0.9121 0.3009 0.3208  2 Sc 2.44-2.60
S: 0.9801 0.6792 0.0913  2 Sc 2.44-2.60
S: 0.9801 0.8009 0.8887  2 Sc 2.44-2.60


# 5
An optimized crystal structure of La2CdIn2, computed with PBE-GGA.

Calculated values
Fermi-level density of states in states/eV/f.u.: 5.55
Magnetization in μB per cell: 0.000
Calculated volume in Å³/cell: 338.8
Energy of formation in kJ/mol of atoms: 7.5

Lattice parameters (Å, degrees): 4.9008 4.9008 14.1072 90.00 90.00 90.00
With the nearest neighbours (Å) after each atom.
Positions (direct):
La: 0.0000 0.5000 0.2500  4 In 3.28, 4 La 3.47
La: 0.0000 0.5000 0.7500  4 In 3.28, 4 La 3.47
La: 0.5000 0.0000 0.2500  4 In 3.28, 4 La 3.47
La: 0.5000 0.0000 0.7500  4 In 3.28, 4 La 3.47
Cd: 0.0000 0.0000 0.0000  8 In 3.72
Cd: 0.5000 0.5000 0.5000  8 In 3.72
In: 0.0000 0.0000 0.4050  1 In 2.68
In: 0.0000 0.0000 0.5950  1 In 2.68
In: 0.5000 0.5000 0.0950  1 In 2.68
In: 0.5000 0.5000 0.9050  1 In 2.68


# 6
An optimized crystal structure of CePu2ScAs4, computed with PBE-GGA.

Calculated values
Fermi-level density of states in states/eV/f.u.: 28.34
Magnetization in μB per cell: 0.047
Calculated volume in Å³/cell: 194.4
Energy of formation in kJ/mol of atoms: -112.9

Lattice parameters (Å, degrees): 7.0810 4.1109 7.0927 90.00 109.65 90.00
With the nearest neighbours (Å) after each atom.
Positions (direct):
Ce: 0.0000 0.0000 0.0000  6 As 2.91
Pu: 0.5000 0.0000 0.5000  6 As 2.88-2.89
Pu: 0.5000 0.5000 0.0000  6 As 2.95-2.97
Sc: 0.0000 0.5000 0.5000  6 As 2.82-2.84
As: 0.2414 0.0000 0.7397  2 Sc 2.84, 3 Pu 2.89-2.95, 1 Ce 2.91
As: 0.2459 0.5000 0.2586  1 Sc 2.82, 3 Pu 2.88-2.97, 2 Ce 2.91
As: 0.7541 0.5000 0.7414  1 Sc 2.82, 3 Pu 2.88-2.97, 2 Ce 2.91
As: 0.7586 0.0000 0.2603  2 Sc 2.84, 3 Pu 2.89-2.95, 1 Ce 2.91


# 7
An optimized crystal structure of LaCoCu2, computed with PBE-GGA.

Calculated values
Fermi-level density of states in states/eV/f.u.: 3.83
Magnetization in μB per cell: 0.668
Calculated volume in Å³/cell: 68.9
Energy of formation in kJ/mol of atoms: 21.2

Lattice parameters (Å, degrees): 3.3467 3.7899 5.4300 90.00 90.00 90.00
With the nearest neighbours (Å) after each atom.
Positions (direct):
La: 0.0000 0.0000 0.0000  2 Co 2.71, 8 Cu 2.98
Co: 0.0000 0.0000 0.5000  2 La 2.71, 8 Cu 2.78
Cu: 0.5000 0.5000 0.2892  1 Cu 2.29
Cu: 0.5000 0.5000 0.7108  1 Cu 2.29


- Look up the calculated volume of the second one.
  525.9 Å³/cell


- Which of these has the highest magnetization?
  Ba3Sc5S12